1.
## LaAg2OsO6 (GGA-PBE)

Data for a relaxed structure of LaAg2OsO6.

POSCAR file:
```
LaAg2OsO6
1.0
-1.806 -4.310 3.423
4.600 0.796 3.430
-4.323 5.570 4.505
La Ag Os O
2 4 2 12
Cartesian
-0.903 -2.155 1.711
0.139 3.183 3.968
1.638 -2.094 7.897
-1.754 2.476 6.847
-3.166 4.150 3.461
0.225 -0.420 4.511
-3.064 0.630 3.964
2.300 0.398 1.715
2.309 -0.496 3.398
0.146 0.289 8.034
-3.838 2.552 7.959
-1.674 1.766 3.324
0.724 1.508 5.679
-2.022 2.193 9.881
-2.252 0.548 5.679
0.493 -0.137 1.477
-0.048 -2.280 6.016
0.495 2.972 7.901
-1.480 4.335 5.342
-2.024 -0.916 3.457
```

* space-group type: P2_1/c (14)
* formation energy without anion corrections: -1281 meV per atom
* magnetic moment: 0.0 μB per formula unit
* total DFT energy (no corrections): -6.442 eV per atom

***

2.
## LaAgPO2 (GGA-PBE)

Data for a relaxed structure of LaAgPO2.

POSCAR file:
```
LaAgPO2
1.0
4.200 0.000 0.000
0.000 4.200 0.000
0.000 0.000 6.708
P O Ag La
1 2 1 1
Cartesian
0.000 0.000 3.354
0.000 2.100 0.000
2.100 0.000 0.000
2.100 2.100 3.354
0.000 0.000 0.000
```

* space-group type: P4/mmm (123)
* formation energy without anion corrections: -643 meV per atom
* magnetic moment: 1.2 μB per formula unit
* total DFT energy (no corrections): -5.264 eV per atom

***

3.
## LaAgP2O8 (GGA-PBE)

Data for a relaxed structure of LaAgP2O8.

POSCAR file:
```
LaAgP2O8
1.0
-1.102 4.699 0.482
-2.382 2.308 -3.539
-7.586 0.508 2.114
La Ag P O
1 1 2 8
Cartesian
0.000 0.000 0.000
-5.535 3.757 -0.471
-8.360 5.620 -0.679
-2.709 1.895 -0.264
-9.721 5.233 -0.015
-1.349 2.282 -0.927
-3.393 3.223 0.138
-7.250 5.087 0.258
-7.248 2.463 -1.268
-4.746 3.326 -2.577
-4.614 5.819 -0.852
-5.957 2.626 1.474
```

* space-group type: R32 (155)
* formation energy without anion corrections: -1961 meV per atom
* magnetic moment: 1.6 μB per formula unit
* total DFT energy (no corrections): -6.816 eV per atom

***

4.
## LaAgPO2 (GGA-PBE)

Data for a relaxed structure of LaAgPO2.

POSCAR file:
```
LaAgPO2
1.0
4.281 0.000 0.000
0.000 4.281 0.000
0.000 0.000 4.637
P O Ag La
1 2 1 1
Cartesian
0.000 0.000 2.318
0.000 2.140 0.000
2.140 0.000 0.000
0.000 0.000 0.000
2.140 2.140 2.318
```

* space-group type: P4/mmm (123)
* formation energy without anion corrections: -671 meV per atom
* magnetic moment: 0.0 μB per formula unit
* total DFT energy (no corrections): -5.292 eV per atom

***

5.
## LaPaAgO6 (GGA-PBE)

Data for a relaxed structure of LaPaAgO6.

POSCAR file:
```
LaPaAgO6
1.0
-2.600 -0.165 4.218
-4.772 -0.452 -2.959
2.804 -4.634 1.547
La Pa Ag O
1 1 1 6
Cartesian
-3.547 -1.928 0.652
0.279 -3.240 0.045
-1.300 -0.083 2.109
-3.148 -3.651 2.283
-0.692 -4.729 3.754
-1.168 -1.712 3.579
-1.148 -1.750 0.684
-1.102 -4.808 0.593
1.131 -3.286 2.029
```

* space-group type: P312 (149)
* formation energy without anion corrections: -2139 meV per atom
* magnetic moment: 0.0 μB per formula unit
* total DFT energy (no corrections): -7.364 eV per atom

***

6.
## LaPaAg2O8 (GGA-PBE)

Data for a relaxed structure of LaPaAg2O8.

POSCAR file:
```
LaPaAg2O8
1.0
6.333 0.164 0.000
-2.662 5.749 0.000
-1.836 -2.957 5.294
La Pa Ag O
1 1 2 8
Cartesian
-1.331 2.875 2.647
0.000 0.000 0.000
3.167 0.082 2.647
1.836 2.957 0.000
1.495 -0.660 1.618
0.211 2.051 0.902
-0.092 -1.858 4.392
3.243 -1.746 3.676
3.460 3.863 0.902
4.839 0.825 1.618
3.091 1.910 3.676
0.092 1.858 4.392
```

* space-group type: I-4m2 (119)
* formation energy without anion corrections: -1452 meV per atom
* magnetic moment: 0.0 μB per formula unit
* total DFT energy (no corrections): -6.435 eV per atom

***

7.
## LaPaAg2O6 (GGA-PBE)

Data for a relaxed structure of LaPaAg2O6.

POSCAR file:
```
LaPaAg2O6
1.0
-1.709 5.143 -2.312
-1.046 -2.863 -5.594
-2.575 -1.903 5.083
La Pa Ag O
1 1 2 6
Cartesian
-0.523 -1.431 -2.797
-0.854 2.571 -1.156
-1.859 -0.677 0.694
-3.471 1.054 -3.518
-2.980 -0.975 -2.571
-2.599 -1.092 2.915
-2.191 2.945 -2.855
-3.138 -2.568 0.030
-2.731 1.469 -5.739
-2.350 1.352 -0.253
```

* space-group type: C2/m (12)
* formation energy without anion corrections: -1992 meV per atom
* magnetic moment: 0.0 μB per formula unit
* total DFT energy (no corrections): -6.980 eV per atom

***

8.
## LaPa2AgO8 (GGA-PBE)

Data for a relaxed structure of LaPa2AgO8.

POSCAR file:
```
LaPa2AgO8
1.0
-4.314 -1.984 2.844
-1.312 -3.268 -4.271
5.956 -1.293 2.746
La Pa Ag O
1 2 1 8
Cartesian
-0.586 -2.952 2.439
-2.813 -2.626 -0.713
0.915 -3.593 -1.119
0.000 0.000 0.000
-3.404 -4.838 -0.460
-0.655 -2.370 0.048
1.055 -4.210 1.101
3.664 -1.676 1.953
-2.814 -3.360 1.471
-1.247 -3.845 -1.885
3.005 -3.310 -0.184
1.712 -2.573 3.235
```

* space-group type: I-4m2 (119)
* formation energy without anion corrections: -2760 meV per atom
* magnetic moment: 0.0 μB per formula unit
* total DFT energy (no corrections): -8.296 eV per atom

***

9.
## La2AgPdO6 (GGA-PBE)

Data for a relaxed structure of La2AgPdO6.

POSCAR file:
```
La2AgPdO6
1.0
5.643 -0.076 -0.076
2.750 5.256 0.306
2.743 2.014 4.818
La Ag Pd O
2 1 1 6
Cartesian
5.479 3.553 1.604
2.854 1.943 3.856
8.363 5.338 2.845
2.795 1.741 0.321
4.172 1.500 1.808
4.191 5.649 1.360
7.781 3.248 1.390
6.892 5.103 4.405
6.194 2.173 3.994
4.161 3.997 3.652
```

* space-group type: P-1 (2)
* formation energy without anion corrections: -1846 meV per atom
* magnetic moment: 0.1 μB per formula unit
* total DFT energy (no corrections): -6.611 eV per atom

***

10.
## La2AgPdO5 (GGA-PBE)

Data for a relaxed structure of La2AgPdO5.

POSCAR file:
```
La2AgPdO5
1.0
-0.738 5.405 -1.908
1.056 -2.171 -6.559
-6.851 -1.186 -0.711
La Ag Pd O
4 2 2 10
Cartesian
-0.872 1.019 -5.527
-2.387 1.934 -2.350
-4.146 0.113 -6.827
-5.661 1.028 -3.650
-2.897 -1.679 -3.635
0.000 0.000 0.000
-3.426 -0.593 -0.355
0.528 -1.086 -3.279
-3.266 1.023 -4.589
-0.369 2.702 -0.954
-4.395 0.310 -1.819
-1.770 -0.952 -6.410
-0.728 0.406 -2.967
-5.438 -1.048 -5.261
-4.762 2.999 -2.768
-5.805 1.641 -6.210
-2.137 1.736 -7.359
-1.095 3.094 -3.917
```

* space-group type: P4/mbm (127)
* formation energy without anion corrections: -1898 meV per atom
* magnetic moment: 1.0 μB per formula unit
* total DFT energy (no corrections): -6.641 eV per atom

***

11.
## La2PmAgO (GGA-PBE)

Data for a relaxed structure of La2PmAgO.

POSCAR file:
```
La2PmAgO
1.0
-4.187 1.913 -2.084
-2.565 -0.997 4.238
1.158 4.434 1.744
La Pm Ag O
2 1 1 1
Cartesian
-0.125 3.934 3.863
-3.501 4.393 4.940
-1.986 1.220 5.110
-2.797 2.675 1.949
0.000 0.001 0.000
```

* space-group type: P4/mmm (123)
* formation energy without anion corrections: -1189 meV per atom
* magnetic moment: 0.0 μB per formula unit
* total DFT energy (no corrections): -5.672 eV per atom

***

12.
## La2PrAgO (GGA-PBE)

Data for a relaxed structure of La2PrAgO.

POSCAR file:
```
La2PrAgO
1.0
5.035 0.000 0.000
0.000 5.034 0.000
0.000 0.000 5.020
La Pr Ag O
2 1 1 1
Cartesian
0.000 2.517 5.020
2.517 5.034 5.020
0.000 5.034 2.510
2.517 2.517 2.512
0.000 0.000 5.020
```

* space-group type: P4/mmm (123)
* formation energy without anion corrections: -1181 meV per atom
* magnetic moment: 0.0 μB per formula unit
* total DFT energy (no corrections): -5.670 eV per atom

***

13.
## La2AgPtO6 (GGA-PBE)

Data for a relaxed structure of La2AgPtO6.

POSCAR file:
```
La2AgPtO6
1.0
5.685 -0.168 -0.156
2.692 5.266 0.321
2.687 2.031 4.822
La Ag Pt O
2 1 1 6
Cartesian
5.456 3.541 1.594
2.805 1.923 3.830
8.320 5.281 2.794
2.787 1.716 0.301
4.142 1.503 1.798
4.149 5.616 1.327
7.719 3.086 1.271
6.805 5.114 4.416
6.227 2.210 3.995
4.119 3.961 3.625
```

* space-group type: P-1 (2)
* formation energy without anion corrections: -1894 meV per atom
* magnetic moment: 0.5 μB per formula unit
* total DFT energy (no corrections): -6.744 eV per atom

***

14.
## LaPuAg2O8 (GGA-PBE)

Data for a relaxed structure of LaPuAg2O8.

POSCAR file:
```
LaPuAg2O8
1.0
-3.082 -4.260 3.324
3.106 -3.208 -4.331
3.851 3.332 3.571
La Pu Ag O
1 1 2 8
Cartesian
0.000 0.000 0.000
3.484 -1.805 -0.632
0.391 -2.331 3.196
0.012 -3.734 -0.504
0.257 -0.533 2.264
1.559 -2.086 -0.454
2.306 1.191 3.456
0.514 -0.843 4.570
0.189 -5.561 0.816
-0.768 -3.994 3.101
1.559 -3.952 2.847
3.697 -1.815 1.311
```

* space-group type: I-4m2 (119)
* formation energy without anion corrections: -1325 meV per atom
* magnetic moment: 0.6 μB per formula unit
* total DFT energy (no corrections): -6.711 eV per atom

***

15.
## La2PuAgO8 (GGA-PBE)

Data for a relaxed structure of La2PuAgO8.

POSCAR file:
```
La2PuAgO8
1.0
4.486 -0.373 0.126
-0.374 5.389 -0.402
0.228 -0.567 7.664
La Pu Ag O
2 1 1 8
Cartesian
2.389 1.787 5.527
1.950 2.662 1.861
0.000 0.000 0.000
0.114 -0.283 3.832
-0.037 4.209 1.582
2.443 3.989 -0.180
3.966 1.023 1.289
4.376 0.240 5.805
1.897 0.460 7.568
0.373 3.426 6.099
2.752 3.416 3.906
1.587 1.033 3.482
```

* space-group type: P-1 (2)
* formation energy without anion corrections: -2318 meV per atom
* magnetic moment: 1.0 μB per formula unit
* total DFT energy (no corrections): -7.877 eV per atom

***

16.
## LaPu2AgO8 (GGA-PBE)

Data for a relaxed structure of LaPu2AgO8.

POSCAR file:
```
LaPu2AgO8
1.0
5.495 0.000 0.000
0.000 5.495 0.000
-2.747 -2.747 5.258
La Pu Ag O
1 2 1 8
Cartesian
0.000 0.000 0.000
2.747 2.747 0.000
0.000 2.747 2.629
2.747 0.000 2.629
4.127 3.950 1.316
1.367 1.545 1.316
1.203 1.382 3.941
-1.203 -1.382 3.941
4.129 1.544 1.317
1.366 3.950 1.317
-1.203 1.380 3.943
1.203 -1.380 3.943
```

* space-group type: I-4m2 (119)
* formation energy without anion corrections: -2285 meV per atom
* magnetic moment: 4.0 μB per formula unit
* total DFT energy (no corrections): -8.627 eV per atom

***

17.
## LaPuAgO6 (GGA-PBE)

Data for a relaxed structure of LaPuAgO6.

POSCAR file:
```
LaPuAgO6
1.0
5.594 0.000 0.000
-2.797 4.845 0.000
0.000 0.000 10.440
La Pu Ag O
2 2 2 12
Cartesian
0.000 0.000 0.000
0.000 0.000 5.220
2.797 1.615 2.610
0.000 3.230 7.830
0.000 3.230 2.610
2.797 1.615 7.830
1.989 3.051 1.442
4.445 1.596 1.442
-0.840 4.647 6.662
-1.648 3.248 8.999
1.149 1.596 3.778
3.605 3.051 3.778
0.840 4.647 8.999
3.637 0.197 3.778
-0.808 1.794 6.662
1.957 0.197 1.442
1.648 3.248 6.662
0.808 1.794 8.999
```

* space-group type: P-31c (163)
* formation energy without anion corrections: -2093 meV per atom
* magnetic moment: 2.0 μB per formula unit
* total DFT energy (no corrections): -7.855 eV per atom

***

18.
## LaPuAg2O6 (GGA-PBE)

Data for a relaxed structure of LaPuAg2O6.

POSCAR file:
```
LaPuAg2O6
1.0
-2.640 -1.456 5.037
-3.155 -4.193 -2.865
6.229 -5.667 1.434
La Pu Ag O
2 2 4 12
Cartesian
-1.320 -0.728 2.518
1.537 -4.930 -0.716
1.794 -3.561 3.236
-1.577 -2.097 -1.433
-4.155 -6.905 2.606
1.654 -7.184 2.052
4.589 -4.411 1.000
-1.220 -4.132 1.554
-2.526 -3.516 -0.358
-1.274 -7.798 2.385
2.960 -7.800 3.964
1.708 -3.517 1.221
-0.404 -5.977 0.339
1.136 -9.877 3.343
0.838 -5.339 3.267
-0.702 -1.438 0.263
-2.690 -4.912 3.269
0.493 -8.681 0.331
3.124 -6.403 0.337
-0.059 -2.634 3.275
```

* space-group type: P2_1/c (14)
* formation energy without anion corrections: -1922 meV per atom
* magnetic moment: 0.9 μB per formula unit
* total DFT energy (no corrections): -7.393 eV per atom

***

19.
## RbLaAgO2 (GGA-PBE)

Data for a relaxed structure of RbLaAgO2.

POSCAR file:
```
RbLaAgO2
1.0
6.205 0.000 0.000
0.000 7.106 2.122
0.000 0.130 7.174
Rb La Ag O
2 2 2 4
Cartesian
1.169 3.650 6.441
5.036 3.585 2.855
3.023 0.032 1.793
3.183 0.097 5.380
0.000 0.000 0.000
0.000 0.065 3.587
4.253 6.172 2.203
4.253 0.999 3.506
1.953 6.237 5.790
1.953 1.064 7.093
```

* space-group type: P2/c (13)
* formation energy without anion corrections: -1618 meV per atom
* magnetic moment: 0.0 μB per formula unit
* total DFT energy (no corrections): -5.350 eV per atom

***

20.
## RbLa2AgO5 (GGA-PBE)

Data for a relaxed structure of RbLa2AgO5.

POSCAR file:
```
RbLa2AgO5
1.0
6.067 0.000 0.000
0.000 6.991 0.000
0.000 0.000 6.991
Rb La Ag O
2 4 2 10
Cartesian
0.000 3.495 3.495
0.000 0.000 0.000
3.034 4.763 1.267
3.034 1.267 2.228
3.034 5.723 4.763
3.034 2.228 5.723
0.000 0.000 3.495
0.000 3.495 0.000
3.034 3.495 3.495
3.034 0.000 0.000
1.541 0.934 4.429
1.541 6.057 2.561
1.541 2.561 0.934
1.541 4.429 6.057
4.527 0.934 4.429
4.527 4.429 6.057
4.527 6.057 2.561
4.527 2.561 0.934
```

* space-group type: P4/mbm (127)
* formation energy without anion corrections: -2177 meV per atom
* magnetic moment: 0.0 μB per formula unit
* total DFT energy (no corrections): -6.451 eV per atom

***

21.
## RbLaAgO3 (GGA-PBE)

Data for a relaxed structure of RbLaAgO3.

POSCAR file:
```
RbLaAgO3
1.0
4.101 0.000 0.000
0.000 7.658 -0.488
0.000 -2.597 9.234
Rb La Ag O
2 2 2 6
Cartesian
1.025 0.989 1.526
3.076 4.072 7.220
1.025 4.815 0.918
3.076 0.246 7.828
1.025 -1.383 5.781
3.076 6.444 2.965
3.076 6.301 0.808
1.025 -1.240 7.938
1.025 6.237 3.087
3.076 -1.176 5.659
3.076 3.261 0.815
1.025 1.800 7.932
```

* space-group type: P2_1/m (11)
* formation energy without anion corrections: -1707 meV per atom
* magnetic moment: 0.0 μB per formula unit
* total DFT energy (no corrections): -5.644 eV per atom